(1)
Material: SrTa2Se
Method: DFT, GGA-PBE
State: relaxed

Lattice parameters (Å, degrees): 5.699 12.076 3.382 90.00 125.99 90.00
Space group C2/m (No. 12)
Asymmetric unit:
Sr 0.000 0.000 0.000 (multiplicity 2)
Ta 0.250 0.250 0.500 (multiplicity 4)
Se 0.000 0.500 0.000 (multiplicity 2)

Properties
E, eV for the cell shown: -54.21
Energy relative to the elements, uncorrected, eV/atom: 0.4413

=====

(2)
Material: Sr6Li5Mg
Method: DFT, GGA-PBE
State: relaxed

Lattice parameters (Å, degrees): 5.957 8.459 9.450 90.00 108.37 90.00
Space group P2/m (No. 10)
Asymmetric unit:
Sr 0.000 0.249 0.000 (multiplicity 2)
Sr 0.335 0.248 0.668 (multiplicity 4)
Li 0.164 0.000 0.330 (multiplicity 2)
Li 0.167 0.500 0.336 (multiplicity 2)
Li 0.500 0.500 0.000 (multiplicity 1)
Mg 0.500 0.000 0.000 (multiplicity 1)

Properties
E, eV for the cell shown: -21.11
Calculated formation energy, eV per atom: 0.012

=====

(3)
Material: Tb4NdCd
Method: DFT, GGA-PBE
State: relaxed

Lattice parameters (Å, degrees): 3.607 3.607 14.177 90.00 90.00 90.00
Space group P4/mmm (No. 123)
Asymmetric unit:
Tb 0.000 0.000 0.145 (multiplicity 2)
Tb 0.500 0.500 0.320 (multiplicity 2)
Nd 0.000 0.000 0.500 (multiplicity 1)
Cd 0.500 0.500 0.000 (multiplicity 1)

Properties
E, eV for the cell shown: -24.75
Distance to the lowest polymorph of the same formula, meV per atom: 0
Calculated formation energy, eV per atom: -0.090

=====

(4)
Material: ScNiBr2
Method: DFT, GGA-PBE
State: relaxed

Lattice parameters (Å, degrees): 3.697 3.959 13.896 90.00 90.00 90.00
Space group Immm (No. 71)
Asymmetric unit:
Sc 0.000 0.000 0.000 (multiplicity 2)
Ni 0.000 0.000 0.500 (multiplicity 2)
Br 0.000 0.500 0.360 (multiplicity 4)

Properties
E, eV for the cell shown: -36.11
Distance to the lowest polymorph of the same formula, meV per atom: 125
Energy relative to the elements, uncorrected, eV/atom: -0.6494

=====

(5)
Material: CsSbH2
Method: DFT, GGA-PBE
State: relaxed

Lattice parameters (Å, degrees): 5.527 5.527 12.569 90.00 90.00 90.00
Space group I-42d (No. 122)
Asymmetric unit:
Cs 0.000 0.000 0.000 (multiplicity 4)
Sb 0.000 0.000 0.500 (multiplicity 4)
H 0.004 0.250 0.625 (multiplicity 8)

Properties
E, eV for the cell shown: -45.13
Distance to the lowest polymorph of the same formula, meV per atom: 234

=====

(6)
Material: TbCe3Er3S8
Method: DFT, GGA-PBE
State: relaxed

Lattice parameters (Å, degrees): 7.8376 7.8376 19.5934 90.00 90.00 120.00
Space group R-3m (No. 166, hexagonal axes)
Asymmetric unit:
Tb 0.0000 0.0000 0.0000 (multiplicity 3)
Ce 0.0000 0.5000 0.5000 (multiplicity 9)
Er 0.0000 0.5000 0.0000 (multiplicity 9)
S 0.0000 0.0000 0.2552 (multiplicity 6)
S 0.0057 0.5028 0.2537 (multiplicity 18)

Properties
E, eV for the cell shown: -299.22
Energy relative to the elements, uncorrected, eV/atom: -2.0400

=====

DOS(E_F)? In order: 5.673, 12.922, 8.169, 1.275, 0.000, 18.327 states/eV/f.u..